# TiSbMoPd

An optimized crystal structure of TiSbMoPd (PBE-GGA, Alexandria via LeMat-Bulk).

* mass density: 9.1 g/cm³
* N(E_F): 0.870 states/eV per atom
* ΔE_f (raw): -0.162 eV/atom

Unit cell a=4.5731 b=4.5731 c=4.5731 alpha=60.00 beta=60.00 gamma=60.00
With the nearest neighbours (Å) after each atom.
Positions (direct):
Sb 0.7500 0.7500 0.7500  4 Mo 2.80, 4 Pd 2.80
Mo 0.5000 0.5000 0.5000  4 Sb 2.80, 4 Ti 2.80
Pd 0.0000 0.0000 0.0000  4 Ti 2.80, 4 Sb 2.80
Ti 0.2500 0.2500 0.2500  4 Mo 2.80, 4 Pd 2.80